A relaxed structure of KHfPtO4, computed with PBE.

abc: 6.898 6.898 6.898
angles: 124.12 123.57 83.46
Positions (direct):
K (0.357, 0.107, 0.250)
K (0.643, 0.893, 0.750)
Hf (0.000, 0.000, 0.500)
Hf (0.000, 0.500, 0.000)
Pt (0.000, 0.500, 0.500)
Pt (0.500, 0.500, 0.000)
O (0.198, 0.247, 0.951)
O (0.204, 0.753, 0.451)
O (0.208, 0.265, 0.557)
O (0.208, 0.652, 0.943)
O (0.792, 0.348, 0.057)
O (0.792, 0.735, 0.443)
O (0.796, 0.247, 0.549)
O (0.802, 0.753, 0.049)

Results
The value obtained for the total magnetization is 0.150 μB per atom. The total energy comes out at -7.10 eV per atom. The space group is No. 74.

=====

A relaxed structure of K2Pu3HfO12, computed with PBE.

abc: 7.647 7.647 7.647
angles: 62.04 62.04 62.04
Positions (direct):
K (0.163, 0.163, 0.163)
K (0.837, 0.837, 0.837)
Pu (0.000, 0.500, 0.500)
Pu (0.500, 0.000, 0.500)
Pu (0.500, 0.500, 0.000)
Hf (0.500, 0.500, 0.500)
O (0.184, 0.184, 0.553)
O (0.184, 0.553, 0.184)
O (0.184, 0.565, 0.565)
O (0.435, 0.435, 0.816)
O (0.435, 0.816, 0.435)
O (0.447, 0.816, 0.816)
O (0.553, 0.184, 0.184)
O (0.565, 0.184, 0.565)
O (0.565, 0.565, 0.184)
O (0.816, 0.435, 0.435)
O (0.816, 0.447, 0.816)
O (0.816, 0.816, 0.447)

Results
The value obtained for the density of states at the Fermi level is 0.607 states/eV per atom. The value obtained for the total magnetization is 0.333 μB per atom. The total energy comes out at -8.95 eV per atom. The space group is No. 166.

=====

Q: Among the records above, which one has the lowest total magnetization?
A: KHfPtO4

=====

Q: What is the formula in the second record?
A: K2Pu3HfO12

=====

Q: Which of these has the lowest total magnetization?
A: KHfPtO4